# 1
Here is a relaxed Y4Pd3Rh crystal from Alexandria via LeMat-Bulk. Energies are from PBE-GGA.

Unit cell a=3.7484 b=4.5156 c=10.5540 alpha=90.00 beta=90.00 gamma=90.00
Closest atoms and distances in Å follow each position.
Fractional positions:
Pd  0.0000  0.0000  0.4164  2 Pd 2.87, 7 Y 2.95-3.01
Y  0.5000  0.5000  0.3549  1 Rh 2.81, 6 Pd 3.01-3.07
Y  0.0000  0.0000  0.1372  3 Pd 2.95-3.01, 4 Rh 2.98
Y  0.5000  0.0000  0.6375  7 Pd 2.91-2.99
Pd  0.0000  0.5000  0.5848  2 Pd 2.87, 7 Y 2.98-3.07
Rh  0.5000  0.5000  0.0883  7 Y 2.81-2.99, 2 Pd 2.91
Y  0.0000  0.5000  0.8673  5 Pd 2.97-2.98, 2 Rh 2.99
Pd  0.5000  0.0000  0.9136  2 Rh 2.91, 7 Y 2.91-3.01

Calculated values
The value obtained for the volume is 179 Å³/cell. The final energy is -6.979 eV/atom. The formation energy from the elements comes out at -0.88 eV/atom.

***

# 2
Here is a relaxed YPdRh3 crystal from Alexandria via LeMat-Bulk. Energies are from PBE-GGA.

Unit cell a=4.7571 b=4.7571 c=4.7571 alpha=90.00 beta=90.00 gamma=90.00
Closest atoms and distances in Å follow each position.
Fractional positions:
Rh  0.5000  0.0000  0.0000  2 Pd 2.38
Rh  0.0000  0.0000  0.5000  2 Pd 2.38
Y  0.5000  0.5000  0.5000  12 Rh 3.36
Rh  0.0000  0.5000  0.0000  2 Pd 2.38
Pd  0.0000  0.0000  0.0000  6 Rh 2.38

Calculated values
The value obtained for the volume is 108 Å³/cell. The final energy is -6.053 eV/atom. The formation energy from the elements comes out at 0.69 eV/atom.

***

# 3
Here is a relaxed Y3PdRh8 crystal from Alexandria via LeMat-Bulk. Energies are from PBE-GGA.

Unit cell a=5.2880 b=5.2880 c=9.1784 alpha=73.26 beta=73.26 gamma=60.00
Closest atoms and distances in Å follow each position.
Fractional positions:
Rh  0.3118  0.3118  0.0647  6 Rh 2.66
Pd  0.1310  0.1310  0.6068  12 Rh 2.94-3.19, 4 Y 3.14-3.15
Rh  0.5626  0.0608  0.8140  6 Rh 2.63-2.66
Y  0.6237  0.6237  0.1289  12 Rh 3.10-3.12, 4 Y 3.34-3.40
Rh  0.0608  0.5626  0.8140  6 Rh 2.63-2.66
Rh  0.5610  0.0613  0.3164  6 Rh 2.64-2.66, 1 Pd 2.94
Rh  0.0613  0.0613  0.3164  6 Rh 2.64-2.66, 1 Pd 2.94
Rh  0.0613  0.5610  0.3164  6 Rh 2.64-2.66, 1 Pd 2.94
Rh  0.5626  0.5626  0.8140  6 Rh 2.63-2.66
Y  0.0096  0.0096  0.9711  9 Rh 2.97-3.16, 1 Pd 3.15
Rh  0.8114  0.8114  0.5657  6 Rh 2.63-2.64
Y  0.4928  0.4928  0.5215  12 Rh 2.96-3.18, 3 Pd 3.14

Calculated values
The value obtained for the volume is 210 Å³/cell. The final energy is -7.498 eV/atom. The formation energy from the elements comes out at -0.55 eV/atom.

***

# 4
Here is a relaxed Y11Pd9Rh4 crystal from Alexandria via LeMat-Bulk. Energies are from PBE-GGA.

Unit cell a=3.6126 b=12.2807 c=12.2807 alpha=111.65 beta=90.00 gamma=90.00
Closest atoms and distances in Å follow each position.
Fractional positions:
Y  0.0000  0.3741  0.6259  4 Rh 2.89, 2 Pd 3.13
Pd  0.5000  0.2041  0.0316  8 Y 3.00-3.22, 1 Rh 3.14, 1 Pd 3.25
Y  0.0000  0.1785  0.8215  8 Pd 2.95-3.07
Pd  0.5000  0.0316  0.2041  8 Y 3.00-3.22, 1 Rh 3.14, 1 Pd 3.25
Pd  0.5000  0.1507  0.6226  8 Y 2.95-3.27, 1 Rh 3.03, 1 Pd 3.13
Pd  0.5000  0.8493  0.3774  8 Y 2.95-3.27, 1 Rh 3.03, 1 Pd 3.13
Pd  0.5000  0.3774  0.8493  8 Y 2.95-3.27, 1 Rh 3.03, 1 Pd 3.13
Y  0.0000  0.4138  0.0746  2 Rh 2.80, 4 Pd 2.99-3.03
Y  0.0000  0.7368  0.7368  4 Rh 2.81
Rh  0.5000  0.7439  0.5647  2 Pd 2.80-3.03, 6 Y 2.80-2.89
Y  0.0000  0.5862  0.9254  2 Rh 2.80, 4 Pd 2.99-3.03
Y  0.0000  0.9254  0.5862  2 Rh 2.80, 4 Pd 2.99-3.03
Pd  0.5000  0.7959  0.9684  8 Y 3.00-3.22, 1 Rh 3.14, 1 Pd 3.25
Y  0.0000  0.0000  0.0000  8 Pd 3.00
Rh  0.5000  0.4353  0.2561  2 Pd 2.80-3.03, 6 Y 2.80-2.89
Rh  0.5000  0.5647  0.7439  2 Pd 2.80-3.03, 6 Y 2.80-2.89
Y  0.0000  0.2632  0.2632  4 Rh 2.81
Rh  0.5000  0.2561  0.4353  2 Pd 2.80-3.03, 6 Y 2.80-2.89
Pd  0.5000  0.6226  0.1507  8 Y 2.95-3.27, 1 Rh 3.03, 1 Pd 3.13
Y  0.0000  0.8215  0.1785  8 Pd 2.95-3.07
Y  0.0000  0.0746  0.4138  2 Rh 2.80, 4 Pd 2.99-3.03
Pd  0.5000  0.5000  0.5000  4 Rh 2.80, 4 Y 3.13
Pd  0.5000  0.9684  0.7959  8 Y 3.00-3.22, 1 Rh 3.14, 1 Pd 3.25
Y  0.0000  0.6259  0.3741  4 Rh 2.89, 2 Pd 3.13

Calculated values
The value obtained for the volume is 506 Å³/cell. The final energy is -6.953 eV/atom. The formation energy from the elements comes out at -0.82 eV/atom.

***

# 5
Here is a relaxed Y2PdRh2 crystal from Alexandria via LeMat-Bulk. Energies are from PBE-GGA.

Unit cell a=3.6958 b=3.6958 c=8.2731 alpha=77.09 beta=77.09 gamma=90.00
Closest atoms and distances in Å follow each position.
Fractional positions:
Rh  0.7500  0.2500  0.5000  4 Rh 2.61, 4 Y 2.88
Y  0.6095  0.6095  0.7809  4 Rh 2.88, 4 Pd 3.13
Rh  0.2500  0.7500  0.5000  4 Rh 2.61, 4 Y 2.88
Pd  0.0000  0.0000  0.0000  8 Y 3.13
Y  0.3905  0.3905  0.2191  4 Rh 2.88, 4 Pd 3.13

Calculated values
The value obtained for the volume is 107 Å³/cell. The final energy is -7.036 eV/atom. The formation energy from the elements comes out at -0.47 eV/atom.

***

# 6
Here is a relaxed Y8Pd2Rh crystal from Alexandria via LeMat-Bulk. Energies are from PBE-GGA.

Unit cell a=6.0081 b=7.7149 c=7.7149 alpha=114.74 beta=100.74 gamma=100.74
Closest atoms and distances in Å follow each position.
Fractional positions:
Y  0.9881  0.7930  0.2105  1 Rh 2.87
Y  0.8138  0.6442  0.6442  1 Rh 2.97, 2 Pd 3.14
Pd  0.4916  0.6991  0.3121  5 Y 2.81-3.14
Y  0.5829  0.3399  0.0881  2 Pd 2.81-2.86, 1 Rh 3.08
Y  0.1654  0.3622  0.3622  1 Rh 2.94, 2 Pd 3.16
Y  0.3758  0.6646  0.9160  2 Pd 2.83-2.89, 1 Rh 3.08
Rh  0.1437  0.0041  0.0041  8 Y 2.87-3.08
Y  0.9881  0.2105  0.7930  1 Rh 2.87
Y  0.5829  0.0881  0.3399  2 Pd 2.81-2.86, 1 Rh 3.08
Y  0.3758  0.9160  0.6646  2 Pd 2.83-2.89, 1 Rh 3.08
Pd  0.4916  0.3121  0.6991  5 Y 2.81-3.14

Calculated values
The value obtained for the volume is 305 Å³/cell. The final energy is -6.693 eV/atom. The formation energy from the elements comes out at -0.38 eV/atom.

***

# 7
Here is a relaxed Y5PdRh2 crystal from Alexandria via LeMat-Bulk. Energies are from PBE-GGA.

Unit cell a=7.5388 b=7.5388 c=8.6790 alpha=115.74 beta=115.74 gamma=90.00
Closest atoms and distances in Å follow each position.
Fractional positions:
Rh  0.8646  0.6354  0.0000  8 Y 2.86-2.98, 1 Rh 2.89
Y  0.9749  0.4749  0.2810  3 Rh 2.86-2.98, 2 Pd 3.19
Y  0.5000  0.5000  0.0000  4 Rh 2.93
Y  0.3061  0.8061  0.2810  3 Rh 2.86-2.98, 2 Pd 3.19
Y  0.0000  0.0000  0.0000  4 Rh 2.93
Y  0.5251  0.6939  0.7190  3 Rh 2.86-2.98, 2 Pd 3.19
Y  0.0251  0.5251  0.7190  3 Rh 2.86-2.98, 2 Pd 3.19
Y  0.1939  0.0251  0.7190  3 Rh 2.86-2.98, 2 Pd 3.19
Y  0.6939  0.1939  0.7190  3 Rh 2.86-2.98, 2 Pd 3.19
Rh  0.1354  0.3646  0.0000  8 Y 2.86-2.98, 1 Rh 2.89
Y  0.8061  0.9749  0.2810  3 Rh 2.86-2.98, 2 Pd 3.19
Pd  0.2500  0.2500  0.5000  10 Y 3.19-3.42
Rh  0.3646  0.8646  0.0000  8 Y 2.86-2.98, 1 Rh 2.89
Rh  0.6354  0.1354  0.0000  8 Y 2.86-2.98, 1 Rh 2.89
Y  0.4749  0.3061  0.2810  3 Rh 2.86-2.98, 2 Pd 3.19
Pd  0.7500  0.7500  0.5000  10 Y 3.19-3.42

Calculated values
The value obtained for the volume is 389 Å³/cell. The final energy is -7.223 eV/atom. The formation energy from the elements comes out at -0.70 eV/atom.

***

# 8
Here is a relaxed Y6PdRh crystal from Alexandria via LeMat-Bulk. Energies are from PBE-GGA.

Unit cell a=6.6332 b=6.6335 c=7.5074 alpha=63.78 beta=63.79 gamma=59.99
Closest atoms and distances in Å follow each position.
Fractional positions:
Y  0.4223  0.7542  0.7535  1 Rh 2.73, 1 Pd 2.80
Y  0.2462  0.9301  0.2464  1 Rh 2.73, 1 Pd 2.80
Y  0.9303  0.5774  0.2466  1 Rh 2.73, 1 Pd 2.80
Y  0.7538  0.0699  0.7536  1 Rh 2.73, 1 Pd 2.80
Y  0.5777  0.2458  0.2465  1 Rh 2.73, 1 Pd 2.80
Y  0.0697  0.4226  0.7534  1 Rh 2.73, 1 Pd 2.80
Pd  0.5000  0.5000  0.5000  6 Y 2.80
Rh  0.0000  0.0000  0.0000  6 Y 2.73

Calculated values
The value obtained for the volume is 246 Å³/cell. The final energy is -6.761 eV/atom. The formation energy from the elements comes out at -0.34 eV/atom.

***

# 9
Here is a relaxed YPdRh2 crystal from Alexandria via LeMat-Bulk. Energies are from PBE-GGA.

Unit cell a=3.9949 b=3.9949 c=9.9065 alpha=78.37 beta=78.37 gamma=90.00
Closest atoms and distances in Å follow each position.
Fractional positions:
Rh  0.6759  0.1250  0.2500  2 Rh 2.55, 2 Pd 2.70, 2 Y 2.84
Pd  0.0000  0.0000  0.0000  4 Rh 2.70, 4 Y 2.82
Rh  0.0741  0.6250  0.2500  2 Rh 2.55, 2 Pd 2.70, 2 Y 2.84
Y  0.5000  0.5000  0.0000  4 Pd 2.82, 4 Rh 2.84
Rh  0.3750  0.3241  0.7500  2 Rh 2.55, 2 Pd 2.70, 2 Y 2.84
Rh  0.8750  0.9259  0.7500  2 Rh 2.55, 2 Pd 2.70, 2 Y 2.84
Pd  0.7500  0.2500  0.5000  4 Rh 2.70, 4 Y 2.82
Y  0.2500  0.7500  0.5000  4 Pd 2.82, 4 Rh 2.84

Calculated values
The value obtained for the volume is 152 Å³/cell. The final energy is -6.790 eV/atom. The formation energy from the elements comes out at -0.20 eV/atom.

***

# 10
Here is a relaxed Y5Pd4Rh crystal from Alexandria via LeMat-Bulk. Energies are from PBE-GGA.

Unit cell a=3.4732 b=3.4732 c=17.8152 alpha=90.00 beta=90.00 gamma=90.00
Closest atoms and distances in Å follow each position.
Fractional positions:
Y  0.5000  0.5000  0.2979  8 Pd 3.03-3.05
Y  0.5000  0.5000  0.9054  4 Rh 2.98, 4 Pd 3.07
Y  0.5000  0.5000  0.0946  4 Rh 2.98, 4 Pd 3.07
Pd  0.0000  0.0000  0.6009  8 Y 3.04-3.05
Rh  0.0000  0.0000  0.0000  8 Y 2.98
Y  0.5000  0.5000  0.7021  8 Pd 3.03-3.05
Pd  0.0000  0.0000  0.1983  8 Y 3.03-3.07
Pd  0.0000  0.0000  0.3991  8 Y 3.04-3.05
Pd  0.0000  0.0000  0.8017  8 Y 3.03-3.07
Y  0.5000  0.5000  0.5000  8 Pd 3.04

Calculated values
The value obtained for the volume is 215 Å³/cell. The final energy is -6.913 eV/atom. The formation energy from the elements comes out at -0.87 eV/atom.

***

# 11
Here is a relaxed YPd3Rh crystal from Alexandria via LeMat-Bulk. Energies are from PBE-GGA.

Unit cell a=4.8229 b=4.8229 c=4.8229 alpha=90.00 beta=90.00 gamma=90.00
Closest atoms and distances in Å follow each position.
Fractional positions:
Y  0.5000  0.5000  0.5000  12 Pd 3.41
Rh  0.0000  0.0000  0.0000  6 Pd 2.41
Pd  0.0000  0.5000  0.0000  2 Rh 2.41
Pd  0.0000  0.0000  0.5000  2 Rh 2.41
Pd  0.5000  0.0000  0.0000  2 Rh 2.41

Calculated values
The value obtained for the volume is 112 Å³/cell. The final energy is -5.522 eV/atom. The formation energy from the elements comes out at 0.36 eV/atom.

***

Number 1: spin magnetization 0.0 μB per cell. Number 2: spin magnetization 1.9 μB per cell. Number 3: spin magnetization 0.0 μB per cell. Number 4: spin magnetization 0.0 μB per cell. Number 5: spin magnetization 0.0 μB per cell. Number 6: spin magnetization 0.0 μB per cell. Number 7: spin magnetization 0.0 μB per cell. Number 8: spin magnetization 0.0 μB per cell. Number 9: spin magnetization 0.0 μB per cell. Number 10: spin magnetization 0.0 μB per cell. Number 11: spin magnetization 1.6 μB per cell.